LaCe2NdAs4 PBE optimized geometry; total magnetization = 1.27 μB per formula unit; Fermi-level density of states = 11.09 states/eV per cell; total DFT energy (no corrections) = -6.506 eV per atom
1.0
7.3959 0.0000 0.0000
0.0000 4.2691 0.0000
-2.4625 0.0000 6.9773
La Ce Nd As
1 2 1 4
Cartesian
0.0000 0.0000 0.0000
-1.2313 2.1346 3.4887
2.4667 0.0000 3.4887
3.6979 2.1346 0.0000
0.0176 0.0000 5.1804
1.2493 2.1346 1.8090
3.6840 2.1346 5.1683
4.9158 0.0000 1.7969


LaCeNd2As4 PBE optimized geometry; total magnetization = 0.61 μB per formula unit; Fermi-level density of states = 6.38 states/eV per cell; total DFT energy (no corrections) = -6.382 eV per atom
1.0
7.4186 0.0000 0.0000
0.0000 4.2848 0.0000
-2.4715 0.0000 7.0030
La Ce Nd As
1 1 2 4
Cartesian
0.0000 0.0000 0.0000
-1.2357 2.1424 3.5015
2.4736 0.0000 3.5015
3.7093 2.1424 0.0000
-0.0047 0.0000 5.2132
1.2242 2.1424 1.7885
3.7229 2.1424 5.2145
4.9519 0.0000 1.7897


LaCeNi2As2 PBE optimized geometry; total magnetization = 0.83 μB per formula unit; Fermi-level density of states = 5.39 states/eV per cell; total DFT energy (no corrections) = -6.346 eV per atom
1.0
4.1337 0.0000 0.0000
-2.0668 3.5799 0.0000
0.0000 0.0000 8.1078
La Ce Ni As
1 1 2 2
Cartesian
0.0000 0.0000 0.0000
0.0000 0.0000 4.0539
0.0000 2.3866 5.9102
2.0668 1.1933 2.1976
0.0000 2.3866 2.0556
2.0668 1.1933 6.0522


LaCeNp2As4 PBE optimized geometry; total magnetization = 8.55 μB per formula unit; Fermi-level density of states = 26.51 states/eV per cell; total DFT energy (no corrections) = -7.989 eV per atom
1.0
7.2823 0.0000 0.0000
0.0000 4.1987 0.0000
-2.4228 0.0000 6.8794
La Ce Np As
1 1 2 4
Cartesian
0.0000 0.0000 0.0000
3.6412 2.0994 0.0000
-1.2114 2.0994 3.4397
2.4297 0.0000 3.4397
0.0347 0.0000 5.0837
1.2468 2.0994 1.8240
3.6127 2.0994 5.0555
4.8248 0.0000 1.7958


La2CeNpAs4 PBE optimized geometry; total magnetization = 4.54 μB per formula unit; Fermi-level density of states = 17.43 states/eV per cell; total DFT energy (no corrections) = -7.212 eV per atom
1.0
7.3778 0.0000 0.0000
0.0000 4.2577 0.0000
-2.4630 0.0000 7.0067
La Ce Np As
2 1 1 4
Cartesian
0.0000 0.0000 0.0000
3.6889 2.1288 0.0000
-1.2315 2.1288 3.5033
2.4574 0.0000 3.5033
0.0184 0.0000 5.1627
1.2548 2.1288 1.8599
3.6599 2.1288 5.1468
4.8963 0.0000 1.8440


LaCeAsO2 PBE optimized geometry; E_form (uncorrected) = -2.729 eV/atom; total magnetization = 0.17 μB per formula unit; Fermi-level density of states = 1.49 states/eV per cell
1.0
-1.9634 1.9634 6.3195
1.9634 -1.9634 6.3195
1.9634 1.9634 -6.3195
La Ce As O
1 1 1 2
Cartesian
0.0000 0.0000 0.0000
0.0000 0.0000 8.8666
0.0000 0.0000 4.3644
1.9634 0.0000 1.3673
0.0000 1.9634 1.3673